# SrTl4Fe | Alexandria | GGA-PBE | optimized geometry
data_SrTl4Fe
_chemical_formula_sum 'Sr4 Tl16 Fe4'
_space_group_name_H-M_alt 'F -4 3 m'
_space_group_IT_number 216
_space_group_name_Hall 'F -4 2 3'
_cell_length_a 8.965
_cell_length_b 8.965
_cell_length_c 8.965
_cell_angle_alpha 90.00
_cell_angle_beta 90.00
_cell_angle_gamma 90.00
loop_
_atom_site_label
_atom_site_type_symbol
_atom_site_fract_x
_atom_site_fract_y
_atom_site_fract_z
Sr1 Sr 0.000 0.000 0.000
Tl1 Tl 0.124 0.124 0.624
Fe1 Fe 0.250 0.250 0.250
# energy = -2.87 eV per atom
# formation energy = 38 kJ per mole of atoms